Entry 1:
The following is a PBE calculation of crystalline Dy4InTe3 at its relaxed geometry, from the Alexandria database.

Calculated values
Space-group type ... Cmmm
Formation energy (no corrections) ... -1.0861 eV/atom
VASP energy ... -4.91 eV/atom

```
Dy4InTe3
1.0
-0.970 4.217 0.007
-3.152 -0.714 -6.889
-5.322 -1.233 5.296
Dy In Te
4 1 3
Cartesian
-2.047 -0.470 -0.385 Dy
-4.164 1.269 -3.927 Dy
-6.427 -1.477 -1.208 Dy
-5.280 1.002 2.341 Dy
-0.485 2.109 0.003 In
-2.661 -0.616 2.648 Te
-4.722 1.135 -0.793 Te
-1.576 -0.357 -3.444 Te
```



Entry 2:
The following is a PBE calculation of crystalline VSi3Cl at its relaxed geometry, from the Alexandria database.

Calculated values
Space-group type ... Pm-3m
Formation energy (no corrections) ... 0.4509 eV/atom
VASP energy ... -5.00 eV/atom

```
VSi3Cl
1.0
4.703 0.000 0.000
0.000 4.703 0.000
0.000 0.000 4.703
Si V Cl
3 1 1
Cartesian
0.000 2.352 0.000 Si
0.000 0.000 2.352 Si
2.352 0.000 0.000 Si
0.000 0.000 0.000 V
2.352 2.352 2.352 Cl
```



Entry 3:
The following is a PBE calculation of crystalline DyYAs2 at its relaxed geometry, from the Alexandria database.

Calculated values
Space-group type ... R-3m
VASP energy ... -6.64 eV/atom
Energy of formation from the pure elements ... -1.55 eV/atom

```
DyYAs2
1.0
-3.143 -2.364 -1.238
1.576 -0.477 3.780
-2.782 6.273 1.953
Dy Y As
1 1 2
Cartesian
-5.925 3.909 0.715 Dy
-0.603 2.898 2.867 Y
-3.267 3.407 1.793 As
-1.082 0.025 2.703 As
```



Entry 4:
The following is a PBE calculation of crystalline Mg2CoW at its relaxed geometry, from the Alexandria database.

Calculated values
Space-group type ... Imm2
VASP energy ... -5.42 eV/atom
Energy of formation from the pure elements ... 0.40 eV/atom

```
Mg2CoW
1.0
-4.980 -2.120 0.967
-1.612 -4.453 -2.793
3.481 2.374 3.533
Co Mg W
1 2 1
Cartesian
-0.795 -2.764 -0.109 Co
-0.198 -0.197 -0.055 Mg
-2.354 -1.473 1.806 Mg
-3.061 -3.052 -0.848 W
```



Entry 5:
The following is a PBE calculation of crystalline MnHgRu at its relaxed geometry, from the Alexandria database.

Calculated values
Space-group type ... P3m1
VASP energy ... -5.87 eV/atom
Energy of formation from the pure elements ... 0.38 eV/atom

```
MnHgRu
1.0
2.912 0.000 0.000
-1.456 2.522 0.000
0.000 0.000 6.663
Hg Mn Ru
1 1 1
Cartesian
0.000 0.000 0.035 Hg
1.456 0.841 2.391 Mn
0.000 1.681 4.237 Ru
```



Entry 6:
The following is a PBE calculation of crystalline Bi3IrS at its relaxed geometry, from the Alexandria database.

Calculated values
Space-group type ... Pm-3m
Formation energy (no corrections) ... 1.0132 eV/atom
VASP energy ... -3.91 eV/atom

```
Bi3IrS
1.0
-2.267 2.204 -4.147
2.923 -2.942 -3.161
-3.676 -3.698 0.044
S Ir Bi
1 1 3
Cartesian
0.000 0.000 0.000 S
-1.510 -2.218 -3.632 Ir
1.461 -1.471 -1.581 Bi
-1.838 -1.849 0.022 Bi
-1.133 1.102 -2.073 Bi
```